1.
# MgAg2W GGA-PBE optimized geometry
data_MgAg2W
_chemical_formula_sum 'Mg2 Ag4 W2'
_space_group_name_H-M_alt 'P 1'
_space_group_IT_number 1
_space_group_name_Hall 'P 1'
_cell_length_a 5.869
_cell_length_b 8.679
_cell_length_c 2.720
_cell_angle_alpha 90.00
_cell_angle_beta 90.00
_cell_angle_gamma 90.00
loop_
_atom_site_label
_atom_site_type_symbol
_atom_site_fract_x
_atom_site_fract_y
_atom_site_fract_z
_atom_site_occupancy
Mg1 Mg 0.000 0.000 0.000 1
Mg2 Mg 0.500 0.500 0.000 1
Ag1 Ag 0.250 0.250 0.500 1
Ag2 Ag 0.250 0.750 0.500 1
Ag3 Ag 0.750 0.250 0.500 1
Ag4 Ag 0.750 0.750 0.500 1
W1 W 0.000 0.500 0.000 1
W2 W 0.500 0.000 0.000 1
# N(E_F)   3.328 states/eV/f.u.
# Space-group type   Cmmm (65)
# Electronic total energy   -36.9 eV for the cell shown
# Calculated volume   17.32 A^3/atom

---

2.
# Tl12Bi3Pb GGA-PBE optimized geometry
data_Tl12Bi3Pb
_chemical_formula_sum 'Tl12 Bi3 Pb1'
_space_group_name_H-M_alt 'P 1'
_space_group_IT_number 1
_space_group_name_Hall 'P 1'
_cell_length_a 5.051
_cell_length_b 5.051
_cell_length_c 19.674
_cell_angle_alpha 90.00
_cell_angle_beta 90.00
_cell_angle_gamma 90.00
loop_
_atom_site_label
_atom_site_type_symbol
_atom_site_fract_x
_atom_site_fract_y
_atom_site_fract_z
_atom_site_occupancy
Tl1 Tl 0.000 0.000 0.000 1
Tl2 Tl 0.000 0.000 0.249 1
Tl3 Tl 0.000 0.000 0.500 1
Tl4 Tl 0.000 0.000 0.751 1
Tl5 Tl 0.000 0.500 0.126 1
Tl6 Tl 0.000 0.500 0.375 1
Tl7 Tl 0.000 0.500 0.625 1
Tl8 Tl 0.000 0.500 0.874 1
Tl9 Tl 0.500 0.000 0.126 1
Tl10 Tl 0.500 0.000 0.375 1
Tl11 Tl 0.500 0.000 0.625 1
Tl12 Tl 0.500 0.000 0.874 1
Bi1 Bi 0.500 0.500 0.000 1
Bi2 Bi 0.500 0.500 0.254 1
Bi3 Bi 0.500 0.500 0.746 1
Pb1 Pb 0.500 0.500 0.500 1
# N(E_F)   6.108 states/eV/f.u.
# Space-group type   P4/mmm (123)
# Electronic total energy   -44.0 eV for the cell shown
# Calculated volume   31.37 A^3/atom

---

3.
# YFeRe2 GGA-PBE optimized geometry
data_YFeRe2
_chemical_formula_sum 'Y2 Fe2 Re4'
_space_group_name_H-M_alt 'P 1'
_space_group_IT_number 1
_space_group_name_Hall 'P 1'
_cell_length_a 3.209
_cell_length_b 4.731
_cell_length_c 8.997
_cell_angle_alpha 90.00
_cell_angle_beta 90.00
_cell_angle_gamma 90.00
loop_
_atom_site_label
_atom_site_type_symbol
_atom_site_fract_x
_atom_site_fract_y
_atom_site_fract_z
_atom_site_occupancy
Y1 Y 0.000 0.000 0.000 1
Y2 Y 0.500 0.500 0.500 1
Fe1 Fe 0.000 0.500 0.771 1
Fe2 Fe 0.500 0.000 0.271 1
Re1 Re 0.000 0.000 0.501 1
Re2 Re 0.000 0.500 0.224 1
Re3 Re 0.500 0.000 0.724 1
Re4 Re 0.500 0.500 0.001 1
# N(E_F)   3.685 states/eV/f.u.
# Space-group type   Imm2 (44)
# Electronic total energy   -76.4 eV for the cell shown
# Offset from the most stable computed form   0.91 eV per formula unit
# Calculated volume   17.07 A^3/atom

---

4.
# SrY3Mg GGA-PBE optimized geometry
data_SrY3Mg
_chemical_formula_sum 'Sr1 Y3 Mg1'
_space_group_name_H-M_alt 'P 1'
_space_group_IT_number 1
_space_group_name_Hall 'P 1'
_cell_length_a 5.776
_cell_length_b 5.776
_cell_length_c 5.776
_cell_angle_alpha 90.00
_cell_angle_beta 90.00
_cell_angle_gamma 90.00
loop_
_atom_site_label
_atom_site_type_symbol
_atom_site_fract_x
_atom_site_fract_y
_atom_site_fract_z
_atom_site_occupancy
Sr1 Sr 0.000 0.000 0.000 1
Y1 Y 0.000 0.500 0.500 1
Y2 Y 0.500 0.000 0.500 1
Y3 Y 0.500 0.500 0.000 1
Mg1 Mg 0.500 0.500 0.500 1
# N(E_F)   10.468 states/eV/f.u.
# Space-group type   Pm-3m (221)
# Electronic total energy   -20.4 eV for the cell shown
# Offset from the most stable computed form   0.00 eV per formula unit
# Calculated volume   38.55 A^3/atom

---

no.,total magnetization (μB/atom)
1,0.00
2,0.00
3,0.56
4,0.00